First-principles (GGA-PBE) data for a relaxed structure of Na2Au2Se, as listed in Alexandria.

Geometry as CIF:
```
data_Na2Au2Se
_symmetry_space_group_name_H-M 'P 4/m b m'
_symmetry_Int_Tables_number 127
_symmetry_space_group_name_Hall '-P 4 2ab'
_cell_length_a 8.865
_cell_length_b 8.865
_cell_length_c 2.835
_cell_angle_alpha 90.00
_cell_angle_beta 90.00
_cell_angle_gamma 90.00
loop_
_atom_site_label
_atom_site_type_symbol
_atom_site_fract_x
_atom_site_fract_y
_atom_site_fract_z
Na1 Na 0.183 0.317 0.000
Au1 Au 0.113 0.613 0.500
Se1 Se 0.000 0.000 0.000
```

E	-27.30	eV/cell
calculated density	7.73	Mg/m³
relative energy among the computed polymorphs	0.227	eV/atom
uncorrected formation energy	-195	meV/atom